The following is a PBE calculation of crystalline YWAu2 at its relaxed geometry, from the Alexandria database.

Unit cell a=9.447 b=2.986 c=5.800 alpha=90.00 beta=99.12 gamma=90.00
Sites, in units of the cell vectors:
Y: 0.000 0.000 0.000
Y: 0.500 0.500 0.000
W: 0.000 0.500 0.500
W: 0.500 0.000 0.500
Au: 0.243 0.000 0.712
Au: 0.257 0.500 0.288
Au: 0.743 0.500 0.712
Au: 0.757 0.000 0.288

Properties
SG: C2/m (12)
E_form: 224 meV/atom
ΔE to the lowest computed polymorph: 159 meV per atom